Material: Ni3Ru
Method: DFT, PBE
State: optimized geometry

Lattice parameters (Å, degrees): 2.5814 8.3463 2.5814 98.90 60.00 98.90
Last column: magnetic moment on the atom in μB.
Positions (direct):
Ru1 0.7500 0.2500 0.7500  0.02
Ni1 0.2500 0.7500 0.2500  0.57
Ni2 0.9980 0.9941 0.9980  0.33
Ni3 0.5020 0.5059 0.5020  0.33

Results
The symmetry is R-3m (166). The energy of formation from the pure elements comes out at 0.11 eV per atom.

Material: Ni2Ru
Method: DFT, PBE
State: optimized geometry

Lattice parameters (Å, degrees): 4.0678 4.0678 2.5126 90.00 90.00 120.00
Last column: magnetic moment on the atom in μB.
Positions (direct):
Ru1 0.0000 0.0000 0.5000  0.47
Ni1 0.6667 0.3333 0.0000  0.34
Ni2 0.3333 0.6667 0.0000  0.34

Results
The symmetry is P6/mmm (191). The energy of formation from the pure elements comes out at 0.15 eV per atom.

Material: NiRu
Method: DFT, PBE
State: optimized geometry

Lattice parameters (Å, degrees): 4.7918 4.7918 4.8698 90.00 90.00 90.00
Last column: magnetic moment on the atom in μB.
Positions (direct):
Ru1 0.3173 0.3173 0.0000  0.80
Ni1 0.3227 0.3227 0.5000  0.31
Ru2 0.1827 0.8173 0.5000  0.80
Ni2 0.6773 0.6773 0.5000  0.31
Ru3 0.8173 0.1827 0.5000  0.80
Ni3 0.8227 0.1773 0.0000  0.31
Ru4 0.6827 0.6827 0.0000  0.80
Ni4 0.1773 0.8227 0.0000  0.31

Results
The symmetry is P4_2/mnm (136). The energy of formation from the pure elements comes out at 0.80 eV per atom.

Material: NiRu8
Method: DFT, PBE
State: optimized geometry

Lattice parameters (Å, degrees): 6.0063 6.0063 6.0063 95.73 95.73 143.17
Positions (direct):
Ru1 0.6658 0.0000 0.6658
Ru2 0.3334 0.3334 0.6668
Ru3 0.3334 0.6666 0.0000
Ru4 0.0000 0.3342 0.3342
Ru5 0.0000 0.6658 0.6658
Ni1 0.0000 0.0000 0.0000
Ru6 0.3342 0.0000 0.3342
Ru7 0.6666 0.3334 0.0000
Ru8 0.6666 0.6666 0.3332

Results
The symmetry is I4/mmm (139). The energy of formation from the pure elements comes out at 0.11 eV per atom.

Material: NiRu
Method: DFT, PBE
State: optimized geometry

Lattice parameters (Å, degrees): 8.4609 8.4609 2.6251 90.00 90.00 120.00
Positions (direct):
Ni1 0.2731 0.2238 0.2500
Ru1 0.4798 0.8622 0.7500
Ru2 0.8622 0.3824 0.2500
Ni2 0.9508 0.7269 0.2500
Ru3 0.3824 0.5202 0.7500
Ni3 0.2238 0.9508 0.7500
Ru4 0.1378 0.6176 0.7500
Ni4 0.7762 0.0492 0.2500
Ni5 0.7269 0.7762 0.7500
Ru5 0.6176 0.4798 0.2500
Ru6 0.5202 0.1378 0.2500
Ni6 0.0492 0.2731 0.7500

Results
The symmetry is P6_3/m (176). The energy of formation from the pure elements comes out at 0.39 eV per atom.

Material: Ni3Ru
Method: DFT, PBE
State: optimized geometry

Lattice parameters (Å, degrees): 2.7197 5.8899 5.8899 90.35 90.00 90.00
Last column: magnetic moment on the atom in μB.
Positions (direct):
Ni1 0.2500 0.3676 0.1159  0.32
Ni2 0.7500 0.1159 0.3676  0.32
Ni3 0.7500 0.6324 0.8841  0.32
Ru1 0.7500 0.6331 0.3669  0.41
Ni4 0.2500 0.8841 0.6324  0.32
Ni5 0.7500 0.1158 0.8842  0.22
Ru2 0.2500 0.3669 0.6331  0.41
Ni6 0.2500 0.8842 0.1158  0.22

Results
The symmetry is Cmcm (63). The energy of formation from the pure elements comes out at 0.19 eV per atom.

Material: Ni2Ru
Method: DFT, PBE
State: optimized geometry

Lattice parameters (Å, degrees): 5.1220 3.6086 8.2259 90.00 109.41 90.00
Positions (direct):
Ru1 0.4195 0.5000 0.8334
Ni1 0.0778 0.5000 0.1675
Ni2 0.9222 0.5000 0.8325
Ru2 0.5805 0.5000 0.1666
Ni3 0.9222 0.0000 0.3325
Ru3 0.5805 0.0000 0.6666
Ni4 0.7566 0.5000 0.5014
Ni5 0.2434 0.0000 0.9986
Ru4 0.4195 0.0000 0.3334
Ni6 0.0778 0.0000 0.6675
Ni7 0.7566 0.0000 0.0014
Ni8 0.2434 0.5000 0.4986

Results
The symmetry is C2/m (12). The energy of formation from the pure elements comes out at 0.08 eV per atom.

Material: Ni4Ru
Method: DFT, PBE
State: optimized geometry

Lattice parameters (Å, degrees): 6.1327 6.1327 6.1327 148.48 148.48 45.17
Last column: magnetic moment on the atom in μB.
Positions (direct):
Ru1 0.0000 0.0000 0.0000  1.63
Ni1 0.2500 0.7500 0.5000  0.71
Ni2 0.6003 0.6003 0.0000  0.80
Ni3 0.7500 0.2500 0.5000  0.71
Ni4 0.3997 0.3997 0.0000  0.80

Results
The relative energy among the computed polymorphs comes out at 404 meV per atom. The symmetry is I4/mmm (139). The energy of formation from the pure elements comes out at 0.47 eV per atom.